# SmGaHgAu

SmGaHgAu after structural relaxation (PBE, Alexandria).

a = 5.0130 Å, b = 5.0130 Å, c = 5.0130 Å
α = 60.00°, β = 60.00°, γ = 60.00°
Fractional positions:
1 Sm 0.7500 0.7500 0.7500
2 Ga 0.2500 0.2500 0.2500
3 Au 0.5000 0.5000 0.5000
4 Hg 0.0000 0.0000 0.0000

Properties
E	-3.33	eV per atom
DOS(E_F)	2.085	states/eV per cell
space group	F-43m, No. 216
crystal system	cubic
theoretical density	11.5	Mg/m³
ΔE_f	-0.4960	eV per atom